(1)
The following is a GGA-PBE calculation of a geometry-optimized AsRhBr2 structure, from the Alexandria database.

a b c (Å): 10.039 10.039 7.469
angles (deg): 47.77 47.77 90.00
Atoms (fractional coordinates):
Br: 0.875 0.061 0.750
Br: 0.811 0.125 0.250
Br: 0.939 0.625 0.250
Br: 0.375 0.189 0.750
As: 0.250 0.750 0.500
As: 0.500 0.500 0.000
Rh: 0.750 0.250 0.500
Rh: 0.000 0.000 0.000

Output
For the energy above the lowest structure with this stoichiometry, the calculation gives 488.2 meV/atom. Its raw formation energy is 6 kJ per mole of atoms. The space group is I-42d. Its calculated volume is 29.2 A^3/atom. For the total energy, the calculation gives -30.23 eV/cell.

***

(2)
The following is a GGA-PBE calculation of a geometry-optimized As2RhBr structure, from the Alexandria database.

a b c (Å): 3.252 4.541 4.928
angles (deg): 90.00 90.00 90.00
Atoms (fractional coordinates):
As: 0.000 0.000 0.000
As: 0.500 0.500 0.000
Br: 0.500 0.000 0.500
Rh: 0.000 0.500 0.500

Output
For the energy above the lowest structure with this stoichiometry, the calculation gives 623.3 meV/atom. Its raw formation energy is 46 kJ per mole of atoms. The space group is Pmmm. Its calculated volume is 18.2 A^3/atom. For the total energy, the calculation gives -16.42 eV/cell.

***

(3)
The following is a GGA-PBE calculation of a geometry-optimized AsRhBr2 structure, from the Alexandria database.

a b c (Å): 3.638 5.566 5.936
angles (deg): 51.81 90.00 90.00
Atoms (fractional coordinates):
Br: 0.000 0.979 0.985
Br: 0.500 0.288 0.328
As: 0.500 0.691 0.667
Rh: 0.000 0.542 0.520

Output
For the energy above the lowest structure with this stoichiometry, the calculation gives 217.3 meV/atom. Its raw formation energy is -21 kJ per mole of atoms. The space group is Pm. Its calculated volume is 23.6 A^3/atom. For the total energy, the calculation gives -16.20 eV/cell.

***

- Look up the energy above the lowest structure with this stoichiometry of the second one.
  623.3 meV/atom

***

- Among the records above, which one has the highest raw formation energy?
  As2RhBr

***

- Among the records above, which one has the highest calculated volume?
  number 1

***

- What is the formula in the second record?
  As2RhBr